! BaSrLa2Tc | the Alexandria database | PBE-GGA | optimized geometry; values from VASP
! M_tot ... 0.00 μB per formula unit
! Calculated formation energy ... 0.15 eV per atom
! Final energy ... -23.1 eV/cell
! Calculated volume ... 39.7 A^3/atom
! Calculated density ... 5.02 g cm⁻³
&SYSTEM
  ibrav = 0, nat = 5, ntyp = 4
/
ATOMIC_SPECIES
Ba 137.33 Ba.upf
Sr 87.62 Sr.upf
La 138.91 La.upf
Tc 98.00 Tc.upf
ATOMIC_POSITIONS crystal
Ba 0.000 0.000 0.000
Sr 0.500 0.500 0.000
La 0.000 0.500 0.500
La 0.500 0.000 0.500
Tc 0.000 0.000 0.500
CELL_PARAMETERS angstrom
5.552 0.000 0.000
0.000 5.552 0.000
0.000 0.000 6.442

***

! Ba3Sr2LaTe6 | the Alexandria database | PBE-GGA | optimized geometry; values from VASP
! M_tot ... 0.00 μB per formula unit
! Final energy ... -53.6 eV/cell
! Formation energy without anion corrections ... -1722 meV/atom
! Calculated volume ... 40.0 A^3/atom
! Calculated density ... 5.16 g cm⁻³
&SYSTEM
  ibrav = 0, nat = 12, ntyp = 4
/
ATOMIC_SPECIES
Ba 137.33 Ba.upf
Sr 87.62 Sr.upf
La 138.91 La.upf
Te 127.60 Te.upf
ATOMIC_POSITIONS crystal
Ba 0.000 0.000 0.000
Ba 0.332 0.332 0.668
Ba 0.668 0.668 0.332
Sr 0.333 0.333 0.166
Sr 0.667 0.667 0.834
La 0.000 0.000 0.500
Te 0.160 0.160 0.589
Te 0.170 0.170 0.075
Te 0.498 0.498 0.266
Te 0.502 0.502 0.734
Te 0.830 0.830 0.925
Te 0.840 0.840 0.411
CELL_PARAMETERS angstrom
10.560 -2.410 0.000
10.560 2.410 0.000
-2.288 0.000 9.434

***

! Ba2Sr3LaTe6 | the Alexandria database | PBE-GGA | optimized geometry; values from VASP
! M_tot ... 0.18 μB per formula unit
! Final energy ... -53.1 eV/cell
! Formation energy without anion corrections ... -1703 meV/atom
! Calculated volume ... 38.9 A^3/atom
! Calculated density ... 5.13 g cm⁻³
&SYSTEM
  ibrav = 0, nat = 12, ntyp = 4
/
ATOMIC_SPECIES
Ba 137.33 Ba.upf
Sr 87.62 Sr.upf
La 138.91 La.upf
Te 127.60 Te.upf
ATOMIC_POSITIONS crystal
Ba 0.166 0.166 0.334
Ba 0.834 0.834 0.666
Sr 0.168 0.168 0.835
Sr 0.500 0.500 0.500
Sr 0.832 0.832 0.165
La 0.500 0.500 0.000
Te 0.004 0.004 0.762
Te 0.337 0.337 0.407
Te 0.338 0.338 0.929
Te 0.662 0.662 0.071
Te 0.663 0.663 0.593
Te 0.996 0.996 0.238
CELL_PARAMETERS angstrom
10.431 -2.386 0.000
10.431 2.386 0.000
-2.185 0.000 9.377